Entry from Alexandria via LeMat-Bulk: a geometry-optimized TlOsW2 structure (PBE).

a = 9.7394 Å, b = 3.0373 Å, c = 4.7681 Å
α = 90.00°, β = 103.29°, γ = 90.00°
Closest atoms and distances in Å follow each position.
Space group C2/m (No. 12)
Inequivalent atoms, fractional coordinates:
Tl 0.0000 0.0000 0.0000 [2 per cell]  4 Os 2.83, 6 W 2.94-3.01, 2 Tl 3.04
Os 0.0000 0.5000 0.5000 [2 per cell]  6 W 2.77-2.97, 4 Tl 2.83, 2 Os 3.04
W 0.2383 0.0000 0.7186 [4 per cell]  2 W 2.63, 2 Os 2.77, 1 Tl 2.94

## Properties
Energy relative to the elements in eV/atom: 0.7337
Energy above the most stable polymorph in this dataset in meV/atom: 191.3
E_tot in eV per atom: -9.1419